First-principles (PBE-GGA) data for a relaxed Ho3HgSe crystal, as listed in Alexandria.

For the total energy, the calculation gives -87.69 eV per cell.

Structure (POSCAR):
```
Ho3HgSe
1.0
-1.0843 -0.6373 3.7676
8.5257 -1.4465 2.2090
1.7268 14.7459 2.9912
Ho Hg Se
12 4 4
direct
0.2500 0.3440 0.5423
0.7500 0.8144 0.2197
0.7500 0.5229 0.8891
0.7500 0.0229 0.6109
0.7500 0.6560 0.4577
0.2500 0.9771 0.3891
0.2500 0.8440 0.9577
0.7500 0.3144 0.2803
0.2500 0.6856 0.7197
0.2500 0.1856 0.7803
0.7500 0.1560 0.0423
0.2500 0.4771 0.1109
0.7500 0.9171 0.8096
0.2500 0.0829 0.1904
0.7500 0.4171 0.6904
0.2500 0.5829 0.3096
0.2500 0.3172 0.9486
0.2500 0.8172 0.5514
0.7500 0.1828 0.4486
0.7500 0.6828 0.0514
```